AcNd2Te: optimized geometry, GGA-PBE.

Cell: 4.0007 4.0007 8.4192 Å, 90.00 90.00 90.00°
With the nearest neighbours (Å) after each atom.
Positions (direct):
Ac (0.0000, 0.0000, 0.0000)  8 Nd 3.73, 4 Ac 4.00
Nd (0.5000, 0.5000, 0.2882)  4 Te 3.34, 1 Nd 3.57, 4 Ac 3.73
Nd (0.5000, 0.5000, 0.7118)  4 Te 3.34, 1 Nd 3.57, 4 Ac 3.73
Te (0.0000, 0.0000, 0.5000)  8 Nd 3.34

electronic total energy: -4.826 eV/atom
excess energy over the best structure of this formula in the dataset: 0.00 kJ/mol of atoms
calculated density: 7.9 Mg/m³



Sr2SiPt: optimized geometry, GGA-PBE.

Cell: 3.7215 3.7215 7.6149 Å, 90.00 90.00 90.00°
With the nearest neighbours (Å) after each atom.
Positions (direct):
Sr (0.0000, 0.0000, 0.2371)  4 Pt 3.19, 4 Si 3.31
Sr (0.0000, 0.0000, 0.7629)  4 Pt 3.19, 4 Si 3.31
Si (0.5000, 0.5000, 0.5000)  8 Sr 3.31
Pt (0.5000, 0.5000, 0.0000)  8 Sr 3.19

electronic total energy: -4.123 eV/atom
calculated density: 6.3 Mg/m³



AlRh5: optimized geometry, GGA-PBE.

Cell: 4.7267 4.7267 4.3844 Å, 90.00 90.00 120.00°
With the nearest neighbours (Å) after each atom.
Positions (direct):
Al (0.0000, 0.0000, 0.0000)  12 Rh 2.70-2.73
Rh (0.0000, 0.6666, 0.5000)  10 Rh 2.70-2.73, 2 Al 2.70
Rh (0.3334, 0.3334, 0.5000)  10 Rh 2.70-2.73, 2 Al 2.70
Rh (0.3333, 0.6667, 0.0000)  9 Rh 2.70-2.73, 3 Al 2.73
Rh (0.6666, 0.0000, 0.5000)  10 Rh 2.70-2.73, 2 Al 2.70
Rh (0.6667, 0.3333, 0.0000)  9 Rh 2.70-2.73, 3 Al 2.73

electronic total energy: -7.029 eV/atom
formation enthalpy at 0 K: -0.2790 eV per atom
calculated density: 10.6 Mg/m³



ScZnPd4: optimized geometry, GGA-PBE.

Cell: 5.0829 5.0829 5.8425 Å, 107.85 107.85 41.69°
With the nearest neighbours (Å) after each atom.
Positions (direct):
Sc (0.0000, 0.0000, 0.0000)  10 Pd 2.72-3.04, 2 Zn 2.92
Zn (0.0000, 0.0000, 0.5000)  8 Pd 2.69-2.71, 2 Sc 2.92
Pd (0.3384, 0.3384, 0.1798)  2 Zn 2.69, 2 Sc 2.79, 6 Pd 2.82-2.86
Pd (0.3434, 0.3434, 0.6658)  2 Zn 2.71, 2 Sc 2.72, 7 Pd 2.81-3.02
Pd (0.6566, 0.6566, 0.3342)  2 Zn 2.71, 2 Sc 2.72, 7 Pd 2.81-3.02
Pd (0.6616, 0.6616, 0.8202)  2 Zn 2.69, 2 Sc 2.79, 6 Pd 2.82-2.86

electronic total energy: -5.373 eV/atom
formation enthalpy at 0 K: -0.6436 eV per atom
calculated density: 9.4 Mg/m³



RbTlO3: optimized geometry, GGA-PBE.

Cell: 4.3722 4.3722 4.3722 Å, 90.00 90.00 90.00°
With the nearest neighbours (Å) after each atom.
Positions (direct):
Rb (0.0000, 0.0000, 0.0000)  6 O 2.19
Tl (0.5000, 0.5000, 0.5000)  12 O 3.09
O (0.0000, 0.0000, 0.5000)  2 Rb 2.19
O (0.0000, 0.5000, 0.0000)  2 Rb 2.19
O (0.5000, 0.0000, 0.0000)  2 Rb 2.19

electronic total energy: -2.867 eV/atom
calculated density: 6.7 Mg/m³



PrHo6Tm12: optimized geometry, GGA-PBE.

Cell: 8.4375 8.4375 8.4375 Å, 88.31 88.31 88.31°
With the nearest neighbours (Å) after each atom.
Positions (direct):
Pr (0.0000, 0.0000, 0.0000)  6 Ho 3.47, 6 Tm 3.55
Ho (0.0893, 0.2551, 0.6821)  6 Tm 3.21-3.58, 1 Pr 3.47, 2 Ho 3.48
Ho (0.2551, 0.6821, 0.0893)  6 Tm 3.21-3.58, 1 Pr 3.47, 2 Ho 3.48
Ho (0.3179, 0.9107, 0.7449)  6 Tm 3.21-3.58, 1 Pr 3.47, 2 Ho 3.48
Ho (0.6821, 0.0893, 0.2551)  6 Tm 3.21-3.58, 1 Pr 3.47, 2 Ho 3.48
Ho (0.7449, 0.3179, 0.9107)  6 Tm 3.21-3.58, 1 Pr 3.47, 2 Ho 3.48
Ho (0.9107, 0.7449, 0.3179)  6 Tm 3.21-3.58, 1 Pr 3.47, 2 Ho 3.48
Tm (0.0064, 0.3529, 0.2173)  4 Tm 3.36-3.56, 4 Ho 3.47-3.65, 1 Pr 3.55
Tm (0.2173, 0.0064, 0.3529)  4 Tm 3.36-3.56, 4 Ho 3.47-3.65, 1 Pr 3.55
Tm (0.2292, 0.5635, 0.4538)  3 Ho 3.21-3.41, 6 Tm 3.24-3.47
Tm (0.3529, 0.2173, 0.0064)  4 Tm 3.36-3.56, 4 Ho 3.47-3.65, 1 Pr 3.55
Tm (0.4365, 0.5462, 0.7708)  3 Ho 3.21-3.41, 6 Tm 3.24-3.47
Tm (0.4538, 0.2292, 0.5635)  3 Ho 3.21-3.41, 6 Tm 3.24-3.47
Tm (0.5462, 0.7708, 0.4365)  3 Ho 3.21-3.41, 6 Tm 3.24-3.47
Tm (0.5635, 0.4538, 0.2292)  3 Ho 3.21-3.41, 6 Tm 3.24-3.47
Tm (0.6471, 0.7827, 0.9936)  4 Tm 3.36-3.56, 4 Ho 3.47-3.65, 1 Pr 3.55
Tm (0.7708, 0.4365, 0.5462)  3 Ho 3.21-3.41, 6 Tm 3.24-3.47
Tm (0.7827, 0.9936, 0.6471)  4 Tm 3.36-3.56, 4 Ho 3.47-3.65, 1 Pr 3.55
Tm (0.9936, 0.6471, 0.7827)  4 Tm 3.36-3.56, 4 Ho 3.47-3.65, 1 Pr 3.55

electronic total energy: -4.357 eV/atom
excess energy over the best structure of this formula in the dataset: 0.00 kJ/mol of atoms
formation enthalpy at 0 K: 0.1640 eV per atom
calculated density: 8.7 Mg/m³



LaEr2In6: optimized geometry, GGA-PBE.

Cell: 8.4985 8.4985 8.4985 Å, 148.31 126.42 63.60°
With the nearest neighbours (Å) after each atom.
Positions (direct):
La (0.0000, 0.0000, 0.0000)  4 In 3.33
Er (0.3800, 0.8800, 0.5000)  10 In 3.12-3.44, 1 Er 3.47
Er (0.6200, 0.1200, 0.5000)  10 In 3.12-3.44, 1 Er 3.47
In (0.0055, 0.3094, 0.6961)  4 In 2.89-3.01, 1 Er 3.12
In (0.3117, 0.5000, 0.8117)  3 In 2.89
In (0.3867, 0.6906, 0.6961)  4 In 2.89-3.01, 1 Er 3.12
In (0.6133, 0.3094, 0.3039)  4 In 2.89-3.01, 1 Er 3.12
In (0.6883, 0.5000, 0.1883)  3 In 2.89
In (0.9945, 0.6906, 0.3039)  4 In 2.89-3.01, 1 Er 3.12

electronic total energy: -3.718 eV/atom
formation enthalpy at 0 K: -0.3308 eV per atom
calculated density: 7.5 Mg/m³



TiReN3: optimized geometry, GGA-PBE.

Cell: 3.4021 3.4021 4.9755 Å, 90.00 90.00 90.00°
With the nearest neighbours (Å) after each atom.
Positions (direct):
Ti (0.0000, 0.0000, 0.0000)  5 N 1.89-1.97
Re (0.5000, 0.5000, 0.4178)  4 N 2.01
N (0.0000, 0.0000, 0.6203)  1 Ti 1.89
N (0.0000, 0.5000, 0.2012)  2 Ti 1.97, 2 Re 2.01
N (0.5000, 0.0000, 0.2012)  2 Ti 1.97, 2 Re 2.01

electronic total energy: -8.972 eV/atom
calculated density: 8.0 Mg/m³



TaInS2: optimized geometry, GGA-PBE.

Cell: 9.3259 9.3259 9.3259 Å, 20.61 20.61 20.61°
With the nearest neighbours (Å) after each atom.
Positions (direct):
Ta (0.0000, 0.0000, 0.0000)  6 S 2.48
In (0.5000, 0.5000, 0.5000)  2 S 2.99, 6 In 3.34
S (0.3906, 0.3906, 0.3906)  3 Ta 2.48
S (0.6094, 0.6094, 0.6094)  3 Ta 2.48

electronic total energy: -6.489 eV/atom
calculated density: 6.8 Mg/m³



Ni2GeI: optimized geometry, GGA-PBE.

Cell: 6.6629 6.6629 6.6629 Å, 129.37 129.37 74.41°
With the nearest neighbours (Å) after each atom.
Positions (direct):
Ni (0.0965, 0.6250, 0.9715)  2 Ge 2.32, 2 I 2.51
Ni (0.3750, 0.3465, 0.4715)  2 Ge 2.32, 2 I 2.51
Ni (0.6535, 0.1250, 0.0285)  2 Ge 2.32, 2 I 2.51
Ni (0.8750, 0.9035, 0.5285)  2 Ge 2.32, 2 I 2.51
Ge (0.0000, 0.0000, 0.0000)  4 Ni 2.32
Ge (0.7500, 0.2500, 0.5000)  4 Ni 2.32
I (0.2500, 0.7500, 0.5000)  4 Ni 2.51
I (0.5000, 0.5000, 0.0000)  4 Ni 2.51

electronic total energy: -4.151 eV/atom
excess energy over the best structure of this formula in the dataset: 0.00 kJ/mol of atoms
calculated density: 6.1 Mg/m³



Mg2HIrPt: optimized geometry, GGA-PBE.

Cell: 4.3267 4.3267 3.5000 Å, 90.00 90.00 90.00°
With the nearest neighbours (Å) after each atom.
Positions (direct):
Mg (0.0000, 0.5000, 0.0000)  2 H 2.16
Mg (0.5000, 0.0000, 0.0000)  2 H 2.16
H (0.0000, 0.0000, 0.0000)  2 Ir 1.75
Ir (0.0000, 0.0000, 0.5000)  2 H 1.75
Pt (0.5000, 0.5000, 0.5000)  8 Mg 2.78, 4 Ir 3.06

electronic total energy: -4.804 eV/atom
excess energy over the best structure of this formula in the dataset: 0.00 kJ/mol of atoms
calculated density: 11.1 Mg/m³



Sr2LaCd4: optimized geometry, GGA-PBE.

Cell: 8.2770 8.2770 8.2770 Å, 139.33 139.33 58.87°
With the nearest neighbours (Å) after each atom.
Positions (direct):
Sr (0.2332, 0.2332, 0.0000)  8 Cd 3.38-3.65
Sr (0.7668, 0.7668, 0.0000)  8 Cd 3.38-3.65
La (0.5000, 0.5000, 0.0000)  8 Cd 3.29
Cd (0.1105, 0.6105, 0.5000)  1 Cd 3.19, 2 La 3.29, 2 Sr 3.38
Cd (0.3895, 0.8895, 0.5000)  1 Cd 3.19, 2 La 3.29, 2 Sr 3.38
Cd (0.6105, 0.1105, 0.5000)  1 Cd 3.19, 2 La 3.29, 2 Sr 3.38
Cd (0.8895, 0.3895, 0.5000)  1 Cd 3.19, 2 La 3.29, 2 Sr 3.38

electronic total energy: -1.882 eV/atom
formation enthalpy at 0 K: -0.1751 eV per atom
calculated density: 5.3 Mg/m³